Record 1
# CePuNp

A geometry-optimized CePuNp structure (GGA-PBE, the Alexandria database).

```
CePuNp
1.0
-1.580 -2.160 -2.211
1.071 -1.942 3.856
-8.621 5.827 0.470
Np Ce Pu
2 2 2
Cartesian
-2.845 0.404 1.639
-6.285 1.321 0.476
-8.505 3.641 -0.203
-0.625 -1.916 2.318
-5.147 1.119 2.587
-3.983 0.607 -0.471
```

Values from the calculation:
Uncorrected energy   -10.77 eV/atom
ΔH_f (0 K)   0.295 eV per atom



Record 2
# Y2Ga2Pb

A geometry-optimized Y2Ga2Pb structure (GGA-PBE, the Alexandria database).

```
Y2Ga2Pb
1.0
4.105 0.000 0.000
0.000 3.947 -1.122
0.000 0.016 7.559
Y Ga Pb
2 2 1
Cartesian
2.052 1.453 5.113
2.052 2.510 1.324
0.000 0.805 2.831
0.000 3.158 3.605
0.000 0.000 0.000
```

Values from the calculation:
Uncorrected energy   -5.11 eV/atom
ΔH_f (0 K)   -0.575 eV per atom